The following is a PBE-GGA calculation of an optimized crystal structure of AsHS, from Alexandria.

Computed properties:
The energy above the most stable polymorph in this dataset is 0.1415 eV/atom.

Cell lengths 5.3701, 6.8336, 4.8177 Å; angles 119.84, 97.12, 112.16 degrees
Closest atoms and distances in Å follow each position.
Fractional positions:
As: 0.5232 0.7706 0.6871  1 H 1.55
As: 0.5316 0.4186 0.1675  1 H 1.55
H: 0.3536 0.8124 0.4558  1 As 1.55
H: 0.3690 0.2209 0.2446  1 As 1.55
S: 0.1092 0.2406 0.7057  1 S 2.03
S: 0.1037 0.5504 0.7527  1 S 2.03

=====

The following is a PBE-GGA calculation of an optimized crystal structure of ZnIn2Ir, from Alexandria.

Computed properties:
The formation energy is 105 meV per atom.

Cell lengths 4.8744, 4.8744, 3.0870 Å; angles 90.00, 90.00, 90.00 degrees
Closest atoms and distances in Å follow each position.
Fractional positions:
In: 0.0000 0.0000 0.0000  4 Ir 2.88, 4 Zn 2.88, 2 In 3.09
In: 0.5000 0.5000 0.0000  4 Ir 2.88, 4 Zn 2.88, 2 In 3.09
Ir: 0.5000 0.0000 0.5000  8 In 2.88, 2 Ir 3.09
Zn: 0.0000 0.5000 0.5000  8 In 2.88, 2 Zn 3.09

=====

The following is a PBE-GGA calculation of an optimized crystal structure of Rb4BaAu5, from Alexandria.

Computed properties:
The formation energy is -372 meV per atom.

Cell lengths 4.1730, 4.1730, 20.8551 Å; angles 90.00, 90.00, 90.00 degrees
Closest atoms and distances in Å follow each position.
Fractional positions:
Rb: 0.0000 0.0000 0.2009  8 Au 3.58-3.87
Rb: 0.0000 0.0000 0.4004  8 Au 3.61-3.64
Rb: 0.0000 0.0000 0.5996  8 Au 3.61-3.64
Rb: 0.0000 0.0000 0.7991  8 Au 3.58-3.87
Ba: 0.0000 0.0000 0.0000  8 Au 3.40
Au: 0.5000 0.5000 0.0811  1 Au 3.38, 4 Ba 3.40
Au: 0.5000 0.5000 0.2980  8 Rb 3.58-3.64
Au: 0.5000 0.5000 0.5000  8 Rb 3.61
Au: 0.5000 0.5000 0.7020  8 Rb 3.58-3.64
Au: 0.5000 0.5000 0.9189  1 Au 3.38, 4 Ba 3.40

=====

The following is a PBE-GGA calculation of an optimized crystal structure of Pr4Cd3Cu, from Alexandria.

Computed properties:
The formation energy is -258 meV per atom.

Cell lengths 3.7929, 3.7929, 15.5408 Å; angles 90.00, 90.00, 90.00 degrees
Closest atoms and distances in Å follow each position.
Fractional positions:
Pr: 0.0000 0.0000 0.8906  4 Cu 3.18, 4 Cd 3.38, 1 Pr 3.40
Pr: 0.0000 0.0000 0.1094  4 Cu 3.18, 4 Cd 3.38, 1 Pr 3.40
Pr: 0.0000 0.0000 0.3706  8 Cd 3.34-3.35
Pr: 0.0000 0.0000 0.6294  8 Cd 3.34-3.35
Cu: 0.5000 0.5000 0.0000  8 Pr 3.18
Cd: 0.5000 0.5000 0.2420  8 Pr 3.34-3.38
Cd: 0.5000 0.5000 0.5000  8 Pr 3.35
Cd: 0.5000 0.5000 0.7580  8 Pr 3.34-3.38

=====

The following is a PBE-GGA calculation of an optimized crystal structure of SmTmCdGa, from Alexandria.

Computed properties:
The formation energy is -429 meV per atom. The energy above the most stable polymorph in this dataset is 0.0227 eV/atom.

Cell lengths 5.1989, 5.1989, 5.1989 Å; angles 60.00, 60.00, 60.00 degrees
Closest atoms and distances in Å follow each position.
Fractional positions:
Tm: 0.5000 0.5000 0.5000  4 Ga 3.18, 4 Cd 3.18
Ga: 0.2500 0.2500 0.2500  4 Tm 3.18, 4 Sm 3.18
Sm: 0.0000 0.0000 0.0000  4 Ga 3.18, 4 Cd 3.18
Cd: 0.7500 0.7500 0.7500  4 Tm 3.18, 4 Sm 3.18

=====

The following is a PBE-GGA calculation of an optimized crystal structure of TlCuSCl2, from Alexandria.

Computed properties:
The energy above the most stable polymorph in this dataset is 0.6177 eV/atom. For the uncorrected formation energy, the calculation gives 7.54 kcal/mol of atoms.

Cell lengths 5.3002, 5.3002, 5.1484 Å; angles 90.00, 90.00, 90.00 degrees
Closest atoms and distances in Å follow each position.
Fractional positions:
Tl: 0.0000 0.0000 0.0000  2 S 2.57, 4 Cl 2.65
S: 0.0000 0.0000 0.5000  2 Tl 2.57
Cu: 0.5000 0.5000 0.5000  8 Cl 3.69, 4 S 3.75
Cl: 0.0000 0.5000 0.0000  2 Tl 2.65
Cl: 0.5000 0.0000 0.0000  2 Tl 2.65

=====

The following is a PBE-GGA calculation of an optimized crystal structure of SiSbO2F, from Alexandria.

Computed properties:
For the uncorrected formation energy, the calculation gives -25.79 kcal/mol of atoms.

Cell lengths 3.5664, 3.5664, 4.9610 Å; angles 90.00, 90.00, 90.00 degrees
Closest atoms and distances in Å follow each position.
Fractional positions:
Sb: 0.5000 0.5000 0.5000  4 F 2.52
Si: 0.0000 0.0000 0.0000  4 O 1.78
O: 0.0000 0.5000 0.0000  2 Si 1.78
O: 0.5000 0.0000 0.0000  2 Si 1.78
F: 0.0000 0.0000 0.5000  2 Si 2.48, 4 Sb 2.52

=====

The following is a PBE-GGA calculation of an optimized crystal structure of InSiNF2, from Alexandria.

Computed properties:
The energy above the most stable polymorph in this dataset is 0.0000 eV/atom. For the uncorrected formation energy, the calculation gives -26.26 kcal/mol of atoms.

Cell lengths 4.5037, 4.5037, 3.2538 Å; angles 90.00, 90.00, 90.00 degrees
Closest atoms and distances in Å follow each position.
Fractional positions:
N: 0.0000 0.0000 0.5000  2 Si 1.63
Si: 0.0000 0.0000 0.0000  2 N 1.63
F: 0.0000 0.5000 0.0000  2 Si 2.25
F: 0.5000 0.0000 0.0000  2 Si 2.25
In: 0.5000 0.5000 0.5000  8 F 2.78

=====

no.,Fermi-level density of states (states/eV per cell)
1,0.00
2,2.07
3,2.86
4,10.23
5,3.61
6,4.87
7,1.27
8,0.06